DFT (PBE-GGA) results for a geometry-optimized Na2ReHgBr structure.

Its relative energy among the computed polymorphs is 0.84 eV per formula unit. Its total energy is -12.57 eV per cell. The density is 4.74 g/cm³. For the density of states at the Fermi level, the calculation gives 0.3545 states/eV per atom. The value obtained for the uncorrected formation energy is 0.898 eV/atom.

Lattice parameters (Å, degrees): 5.2627 5.2627 6.4907 90.00 90.00 90.00
Space group P4/mmm (No. 123)
Asymmetric unit:
Na (0.0000, 0.5000, 0.0000) [2 per cell]
Re (0.0000, 0.0000, 0.5000) [1 per cell]
Hg (0.5000, 0.5000, 0.5000) [1 per cell]
Br (0.5000, 0.5000, 0.0000) [1 per cell]



DFT (PBE-GGA) results for a geometry-optimized Na2HgSBr structure.

Its total energy is -13.03 eV per cell. The density is 3.96 g/cm³. For the density of states at the Fermi level, the calculation gives 0.1148 states/eV per atom. The value obtained for the uncorrected formation energy is -0.858 eV/atom.

Lattice parameters (Å, degrees): 5.4044 5.4044 5.1494 90.00 90.00 90.00
Space group P4/mmm (No. 123)
Asymmetric unit:
Na (0.0000, 0.5000, 0.0000) [2 per cell]
Hg (0.0000, 0.0000, 0.5000) [1 per cell]
S (0.0000, 0.0000, 0.0000) [1 per cell]
Br (0.5000, 0.5000, 0.5000) [1 per cell]



DFT (PBE-GGA) results for a geometry-optimized Na3Hg2S2Br3 structure.

Its total energy is -52.75 eV per cell. The density is 4.50 g/cm³. The value obtained for the uncorrected formation energy is -0.854 eV/atom.

Lattice parameters (Å, degrees): 4.3951 4.3951 29.5705 90.00 90.00 90.00
Space group I4/mmm (No. 139)
Asymmetric unit:
Na (0.0000, 0.0000, 0.0000) [2 per cell]
Na (0.0000, 0.0000, 0.4024) [4 per cell]
Hg (0.0000, 0.5000, 0.2500) [4 per cell]
S (0.0000, 0.0000, 0.3009) [4 per cell]
Br (0.0000, 0.0000, 0.1021) [4 per cell]
Br (0.0000, 0.0000, 0.5000) [2 per cell]



DFT (PBE-GGA) results for a geometry-optimized Na2HgSbBr6 structure.

Its total energy is -25.83 eV per cell. The density is 4.20 g/cm³. For the density of states at the Fermi level, the calculation gives 0.4369 states/eV per atom. The value obtained for the uncorrected formation energy is -0.873 eV/atom.

Lattice parameters (Å, degrees): 7.4883 7.4920 8.1317 62.63 62.65 60.03
Space group P1 (No. 1)
Asymmetric unit:
Na (0.0000, 0.0000, 0.0000) [1 per cell]
Na (0.4893, 0.4889, 0.5324) [1 per cell]
Hg (0.1892, 0.1881, 0.4346) [1 per cell]
Sb (0.6821, 0.6814, 0.9548) [1 per cell]
Br (0.0596, 0.7852, 0.7274) [1 per cell]
Br (0.3017, 0.5949, 0.2090) [1 per cell]
Br (0.4280, 0.0586, 0.7267) [1 per cell]
Br (0.5958, 0.8941, 0.2091) [1 per cell]
Br (0.7854, 0.4270, 0.7278) [1 per cell]
Br (0.8957, 0.3017, 0.2089) [1 per cell]



DFT (PBE-GGA) results for a geometry-optimized Na2ScHgBr structure.

Its total energy is -11.26 eV per cell. The density is 3.57 g/cm³. For the density of states at the Fermi level, the calculation gives 0.5052 states/eV per atom. The value obtained for the uncorrected formation energy is -0.063 eV/atom.

Lattice parameters (Å, degrees): 5.6476 5.6476 5.4104 90.00 90.00 90.00
Space group P4/mmm (No. 123)
Asymmetric unit:
Na (0.0000, 0.5000, 0.0000) [2 per cell]
Sc (0.0000, 0.0000, 0.5000) [1 per cell]
Hg (0.0000, 0.0000, 0.0000) [1 per cell]
Br (0.5000, 0.5000, 0.5000) [1 per cell]



DFT (PBE-GGA) results for a geometry-optimized NaHgSeBr2 structure.

Its relative energy among the computed polymorphs is 1.81 eV per formula unit. Its total energy is -8.37 eV per cell. The density is 4.41 g/cm³. For the density of states at the Fermi level, the calculation gives 1.4216 states/eV per atom. The value obtained for the uncorrected formation energy is 0.016 eV/atom.

Lattice parameters (Å, degrees): 5.5495 5.5495 5.6468 90.00 90.00 90.00
Space group P4/mmm (No. 123)
Asymmetric unit:
Na (0.0000, 0.0000, 0.0000) [1 per cell]
Hg (0.5000, 0.5000, 0.5000) [1 per cell]
Se (0.0000, 0.0000, 0.5000) [1 per cell]
Br (0.0000, 0.5000, 0.0000) [2 per cell]



DFT (PBE-GGA) results for a geometry-optimized NaHgSeBr structure.

Its total energy is -9.66 eV per cell. The density is 5.48 g/cm³. The value obtained for the uncorrected formation energy is -0.720 eV/atom.

Lattice parameters (Å, degrees): 4.5467 6.0193 4.2308 90.00 90.00 90.00
Space group Pmm2 (No. 25)
Asymmetric unit:
Na (0.0000, 0.0000, 0.0000) [1 per cell]
Hg (0.5000, 0.5000, 0.2618) [1 per cell]
Se (0.0000, 0.5000, 0.9857) [1 per cell]
Br (0.5000, 0.0000, 0.5138) [1 per cell]



DFT (PBE-GGA) results for a geometry-optimized NaHgSeBr2 structure.

Its relative energy among the computed polymorphs is 0.00 eV per formula unit. Its total energy is -10.18 eV per cell. The density is 4.48 g/cm³. For the density of states at the Fermi level, the calculation gives 1.0305 states/eV per atom. The value obtained for the uncorrected formation energy is -0.346 eV/atom.

Lattice parameters (Å, degrees): 5.7142 5.7142 5.2464 90.00 90.00 90.00
Space group P4/mmm (No. 123)
Asymmetric unit:
Na (0.0000, 0.0000, 0.0000) [1 per cell]
Hg (0.5000, 0.5000, 0.5000) [1 per cell]
Se (0.5000, 0.5000, 0.0000) [1 per cell]
Br (0.0000, 0.5000, 0.5000) [2 per cell]



DFT (PBE-GGA) results for a geometry-optimized NaSmHgBr6 structure.

Its total energy is -56.03 eV per cell. The density is 4.59 g/cm³. For the density of states at the Fermi level, the calculation gives 0.0000 states/eV per atom. The value obtained for the uncorrected formation energy is -1.293 eV/atom.

Lattice parameters (Å, degrees): 7.2496 7.2496 13.5650 90.00 90.00 120.00
Space group P-31c (No. 163)
Asymmetric unit:
Na (0.0000, 0.0000, 0.0000) [2 per cell]
Sm (0.3333, 0.6667, 0.2500) [2 per cell]
Hg (0.3333, 0.6667, 0.7500) [2 per cell]
Br (0.0010, 0.3521, 0.6284) [12 per cell]



DFT (PBE-GGA) results for a geometry-optimized NaSnHgBr3 structure.

Its total energy is -63.00 eV per cell. The density is 4.52 g/cm³. For the density of states at the Fermi level, the calculation gives 0.0000 states/eV per atom. The value obtained for the uncorrected formation energy is -0.851 eV/atom.

Lattice parameters (Å, degrees): 21.6154 4.3247 9.1735 90.00 94.16 90.00
Space group C2/m (No. 12)
Asymmetric unit:
Na (0.1878, 0.0000, 0.3646) [4 per cell]
Sn (0.0846, 0.5000, 0.0100) [4 per cell]
Hg (0.1304, 0.0000, 0.7999) [4 per cell]
Br (0.0523, 0.0000, 0.2078) [4 per cell]
Br (0.1740, 0.5000, 0.5805) [4 per cell]
Br (0.1996, 0.5000, 0.1378) [4 per cell]



DFT (PBE-GGA) results for a geometry-optimized Na2SrHgBr6 structure.

Its total energy is -84.55 eV per cell. The density is 4.11 g/cm³. For the density of states at the Fermi level, the calculation gives 0.0000 states/eV per atom. The value obtained for the uncorrected formation energy is -1.352 eV/atom.

Lattice parameters (Å, degrees): 7.5106 7.5106 20.1926 90.00 90.00 120.00
Space group R3 (No. 146, hexagonal axes)
Asymmetric unit:
Na (0.0000, 0.0000, 0.0000) [3 per cell]
Na (0.0000, 0.0000, 0.4991) [3 per cell]
Sr (0.0000, 0.0000, 0.1992) [3 per cell]
Hg (0.0000, 0.0000, 0.6973) [3 per cell]
Br (0.0054, 0.7063, 0.6019) [9 per cell]
Br (0.0274, 0.3435, 0.7644) [9 per cell]



DFT (PBE-GGA) results for a geometry-optimized NaTbHgBr6 structure.

Its total energy is -55.93 eV per cell. The density is 4.71 g/cm³. For the density of states at the Fermi level, the calculation gives 0.0000 states/eV per atom. The value obtained for the uncorrected formation energy is -1.298 eV/atom.

Lattice parameters (Å, degrees): 7.2027 7.2027 13.5343 90.00 90.00 120.00
Space group P-31c (No. 163)
Asymmetric unit:
Na (0.0000, 0.0000, 0.0000) [2 per cell]
Tb (0.3333, 0.6667, 0.2500) [2 per cell]
Hg (0.3333, 0.6667, 0.7500) [2 per cell]
Br (0.0041, 0.3552, 0.1293) [12 per cell]